w | # Mn2PdAuN

Mn2PdAuN after structural relaxation (GGA-PBE, the Alexandria database).

Structure (POSCAR):
```
Mn2PdAuN
1.0
5.0071 0.0000 0.0000
0.0000 5.0245 0.0000
0.0000 0.0000 5.0071
Mn Au Pd N
2 1 1 1
Direct
0.0000 0.0000 0.5000
0.5000 0.0000 0.0000
0.0000 0.0000 0.0000
0.0000 0.5000 0.0000
0.5000 0.5000 0.5000
```

Results
Magnetic moment (μB per cell): 7.141
Symmetry: P4/mmm, No. 123


x | # Mn2PdAuN

Mn2PdAuN after structural relaxation (GGA-PBE, the Alexandria database).

Structure (POSCAR):
```
Mn2PdAuN
1.0
-1.4284 3.6345 -0.8791
-3.7245 -1.4666 -0.0117
-0.3518 0.8605 4.1293
Mn Au Pd N
2 1 1 1
Direct
0.0000 0.5000 0.0000
0.5000 0.0000 0.0000
0.5000 0.5000 0.5000
0.0000 0.0000 0.5000
0.0000 0.0000 0.0000
```

Results
Magnetic moment (μB per cell): 7.227
Symmetry: P4/mmm, No. 123


Structures ranked by computed energy, the most stable listed first: x, w.


w | # MnAuS2N

MnAuS2N after structural relaxation (GGA-PBE, the Alexandria database).

Structure (POSCAR):
```
MnAuS2N
1.0
4.6703 0.0000 0.0000
0.0000 4.6703 0.0000
0.0000 0.0000 3.4395
S Mn Au N
2 1 1 1
Direct
0.0000 0.5000 0.0000
0.5000 0.0000 0.0000
0.0000 0.0000 0.0000
0.5000 0.5000 0.5000
0.0000 0.0000 0.5000
```

Results
Magnetic moment (μB per cell): 0.000
Symmetry: P4/mmm, No. 123


x | # MnAuS2N

MnAuS2N after structural relaxation (GGA-PBE, the Alexandria database).

Structure (POSCAR):
```
MnAuS2N
1.0
-4.7741 0.9491 -1.2955
-1.1561 -4.8514 0.7063
-0.8343 0.7236 3.6047
S Mn Au N
2 1 1 1
Direct
0.0000 0.5000 0.0000
0.5000 0.0000 0.0000
0.5000 0.5000 0.5000
0.0000 0.0000 0.0000
0.0000 0.0000 0.5000
```

Results
Magnetic moment (μB per cell): 5.034
Symmetry: P4/mmm, No. 123


Structures ranked by computed energy, the most stable listed first: w, x.


w | # MnTeAuN2

MnTeAuN2 after structural relaxation (GGA-PBE, the Alexandria database).

Structure (POSCAR):
```
MnTeAuN2
1.0
-0.6992 3.6362 0.4458
-2.6755 -0.8168 2.4665
3.8063 0.2169 4.2008
Te Au Mn N
1 1 1 2
Direct
0.0000 0.0000 0.5000
0.5000 0.5000 0.5000
0.0000 0.0000 0.0000
0.0000 0.5000 0.0000
0.5000 0.0000 0.0000
```

Results
Magnetic moment (μB per cell): 0.035
Symmetry: P4/mmm, No. 123


x | # MnTeAuN2

MnTeAuN2 after structural relaxation (GGA-PBE, the Alexandria database).

Structure (POSCAR):
```
MnTeAuN2
1.0
-1.1827 1.4417 -3.4035
-3.3947 -1.8375 0.4013
-2.8935 6.1327 3.6033
Te Au Mn N
1 1 1 2
Direct
0.0000 0.0000 0.5000
0.0000 0.0000 0.0000
0.5000 0.5000 0.5000
0.0000 0.5000 0.0000
0.5000 0.0000 0.0000
```

Results
Magnetic moment (μB per cell): 4.522
Symmetry: P4/mmm, No. 123


Structures ranked by computed energy, the most stable listed first: w, x.


w | # NaMnAu2

NaMnAu2 after structural relaxation (GGA-PBE, the Alexandria database).

Structure (POSCAR):
```
NaMnAu2
1.0
4.1388 0.0000 0.0000
0.0000 4.1388 0.0000
2.0694 2.0694 9.4497
Na Mn Au
2 2 4
Direct
0.5000 0.5000 0.0000
0.2500 0.7500 0.5000
0.0000 0.0000 0.0000
0.7500 0.2500 0.5000
0.6362 0.1250 0.2500
0.1138 0.6250 0.2500
0.3750 0.3638 0.7500
0.8750 0.8862 0.7500
```

Results
Magnetic moment (μB per cell): 8.901
Symmetry: I-42d, No. 122


x | # NaMnAu2

NaMnAu2 after structural relaxation (GGA-PBE, the Alexandria database).

Structure (POSCAR):
```
NaMnAu2
1.0
0.0000 3.3159 3.3159
3.3159 0.0000 3.3159
3.3159 3.3159 0.0000
Na Mn Au
1 1 2
Direct
0.0000 0.0000 0.0000
0.5000 0.5000 0.5000
0.2500 0.2500 0.2500
0.7500 0.7500 0.7500
```

Results
Magnetic moment (μB per cell): 4.399
Symmetry: Fm-3m, No. 225


y | # NaMnAu2

NaMnAu2 after structural relaxation (GGA-PBE, the Alexandria database).

Structure (POSCAR):
```
NaMnAu2
1.0
3.1586 0.0000 0.0000
0.0000 3.1586 0.0000
0.0000 0.0000 7.6600
Na Mn Au
1 1 2
Direct
0.5000 0.5000 0.5000
0.5000 0.5000 0.0000
0.0000 0.0000 0.7889
0.0000 0.0000 0.2111
```

Results
Magnetic moment (μB per cell): 4.222
Symmetry: P4/mmm, No. 123


z | # NaMnAu2

NaMnAu2 after structural relaxation (GGA-PBE, the Alexandria database).

Structure (POSCAR):
```
NaMnAu2
1.0
3.1276 0.0000 0.0000
1.5638 2.7086 0.0000
1.5638 0.9029 9.0785
Na Mn Au
1 1 2
Direct
0.5000 0.5000 0.5000
0.0000 0.0000 0.0000
0.2590 0.2590 0.2229
0.7410 0.7410 0.7771
```

Results
Magnetic moment (μB per cell): 4.211
Symmetry: R-3m, No. 166


Structures ranked by computed energy, the most stable listed first: y, x, z, w.


w | # NaMn2Au2

NaMn2Au2 after structural relaxation (GGA-PBE, the Alexandria database).

Structure (POSCAR):
```
NaMn2Au2
1.0
3.1444 0.0000 0.0000
0.0000 3.1444 0.0000
1.5722 1.5722 8.6667
Na Mn Au
1 2 2
Direct
0.0000 0.0000 0.0000
0.7500 0.2500 0.5000
0.2500 0.7500 0.5000
0.3790 0.3790 0.2421
0.6210 0.6210 0.7579
```

Results
Magnetic moment (μB per cell): 0.000
Symmetry: I4/mmm, No. 139


x | # NaMn2Au2

NaMn2Au2 after structural relaxation (GGA-PBE, the Alexandria database).

Structure (POSCAR):
```
NaMn2Au2
1.0
8.0272 0.0000 0.0000
0.0000 8.0272 0.0000
0.0000 0.0000 2.8764
Na Mn Au
2 4 4
Direct
0.0000 0.0000 0.0000
0.5000 0.5000 0.0000
0.3762 0.8762 0.0000
0.8762 0.6238 0.0000
0.6238 0.1238 0.0000
0.1238 0.3762 0.0000
0.1719 0.6719 0.5000
0.6719 0.8281 0.5000
0.8281 0.3281 0.5000
0.3281 0.1719 0.5000
```

Results
Magnetic moment (μB per cell): 16.537
Symmetry: P4/mbm, No. 127


Structures ranked by computed energy, the most stable listed first: x, w.


w | # MnNb2Au

MnNb2Au after structural relaxation (GGA-PBE, the Alexandria database).

Structure (POSCAR):
```
MnNb2Au
1.0
2.9408 0.0000 0.0000
0.0000 2.9408 0.0000
0.0000 0.0000 7.5507
Nb Mn Au
2 1 1
Direct
0.0000 0.0000 0.7883
0.0000 0.0000 0.2117
0.5000 0.5000 0.0000
0.5000 0.5000 0.5000
```

Results
Magnetic moment (μB per cell): 0.001
Symmetry: P4/mmm, No. 123


x | # MnNb2Au

MnNb2Au after structural relaxation (GGA-PBE, the Alexandria database).

Structure (POSCAR):
```
MnNb2Au
1.0
3.8630 -0.9424 2.1993
0.3903 -3.8691 2.3507
2.7237 -3.3098 -1.5081
Nb Mn Au
2 1 1
Direct
0.2500 0.2500 0.2500
0.7500 0.7500 0.7500
0.0000 0.0000 0.0000
0.5000 0.5000 0.5000
```

Results
Magnetic moment (μB per cell): 0.000
Symmetry: Fm-3m, No. 225


Structures ranked by computed energy, the most stable listed first: w, x.